(1)
Material: Ac2Tc2N5
Method: DFT, GGA-PBE
State: relaxed

a b c (Å): 4.219 6.019 6.018
angles (deg): 106.00 90.00 110.52
Fractional positions:
N 0.678 0.356 0.932
N 0.841 0.683 0.426
N 0.322 0.644 0.068
N 0.000 0.000 0.000
N 0.159 0.317 0.574
Tc 0.855 0.710 0.124
Tc 0.145 0.290 0.876
Ac 0.395 0.789 0.683
Ac 0.605 0.211 0.317

As for the uncorrected formation energy: -504.9 meV per atom. The value obtained for the total energy is -8.35 eV/atom. Its symmetry is No. 12.

***

(2)
Material: Li2CdPb
Method: DFT, GGA-PBE
State: relaxed

a b c (Å): 10.105 10.105 10.105
angles (deg): 18.83 18.83 18.83
Fractional positions:
Cd 0.741 0.741 0.741
Li 0.254 0.254 0.254
Li 0.000 0.000 0.000
Pb 0.505 0.505 0.505

The value obtained for the total energy is -2.18 eV/atom. Its symmetry is No. 160.

***

(3)
Material: TbSc3Tl2
Method: DFT, GGA-PBE
State: relaxed

a b c (Å): 4.835 6.578 9.489
angles (deg): 90.00 90.00 90.00
Fractional positions:
Tb 0.500 0.058 0.454
Tb 0.500 0.558 0.546
Sc 0.000 0.946 0.045
Sc 0.500 0.662 0.189
Sc 0.500 0.162 0.811
Sc 0.000 0.337 0.297
Sc 0.000 0.446 0.955
Sc 0.000 0.837 0.703
Tl 0.500 0.710 0.877
Tl 0.000 0.287 0.635
Tl 0.500 0.210 0.123
Tl 0.000 0.787 0.365

The value obtained for the total energy is -4.97 eV/atom. Its symmetry is No. 26.

***

(4)
Material: Ca3Cl
Method: DFT, GGA-PBE
State: relaxed

a b c (Å): 3.926 6.228 6.819
angles (deg): 90.00 90.00 90.00
Fractional positions:
Ca 0.500 0.500 0.882
Ca 0.000 0.000 0.056
Ca 0.500 0.000 0.566
Cl 0.000 0.500 0.163

As for the uncorrected formation energy: -573.1 meV per atom. The value obtained for the total energy is -2.54 eV/atom. Its symmetry is No. 25.

***

(5)
Material: Na2OsBr8
Method: DFT, GGA-PBE
State: relaxed

a b c (Å): 7.099 7.265 8.206
angles (deg): 79.06 115.63 90.00
Fractional positions:
Br 0.217 0.250 0.944
Br 0.833 0.992 0.665
Br 0.695 0.391 0.389
Br 0.727 0.250 0.944
Br 0.305 0.609 0.611
Br 0.167 0.008 0.335
Br 0.783 0.750 0.056
Br 0.273 0.750 0.056
Na 0.150 0.436 0.300
Na 0.850 0.564 0.700
Os 0.000 0.000 0.000

As for the uncorrected formation energy: -500.4 meV per atom. The value obtained for the total energy is -2.98 eV/atom. Its symmetry is No. 12.

***

(6)
Material: USF3
Method: DFT, GGA-PBE
State: relaxed

a b c (Å): 5.438 4.997 6.788
angles (deg): 90.00 90.00 90.00
Fractional positions:
S 0.411 0.306 0.701
S 0.911 0.046 0.201
F 0.429 0.804 0.974
F 0.429 0.804 0.428
F 0.424 0.348 0.201
F 0.924 0.004 0.701
F 0.929 0.549 0.928
F 0.929 0.549 0.474
U 0.686 0.632 0.201
U 0.186 0.720 0.701

As for the uncorrected formation energy: -2737.0 meV per atom. The value obtained for the total energy is -6.94 eV/atom. Its symmetry is No. 31.

***

(7)
Material: Ce3NdH8
Method: DFT, GGA-PBE
State: relaxed

a b c (Å): 5.457 5.457 5.457
angles (deg): 90.00 90.00 90.00
Fractional positions:
H 0.749 0.749 0.749
H 0.251 0.251 0.749
H 0.749 0.251 0.749
H 0.251 0.749 0.251
H 0.251 0.749 0.749
H 0.749 0.251 0.251
H 0.251 0.251 0.251
H 0.749 0.749 0.251
Ce 0.500 0.000 0.500
Ce 0.500 0.500 0.000
Ce 0.000 0.500 0.500
Nd 0.000 0.000 0.000

The value obtained for the total energy is -4.67 eV/atom. Its symmetry is No. 221.

***

(8)
Material: ThScPaAl
Method: DFT, GGA-PBE
State: relaxed

a b c (Å): 5.182 5.182 5.182
angles (deg): 60.00 60.00 60.00
Fractional positions:
Pa 0.750 0.750 0.750
Al 0.250 0.250 0.250
Th 0.500 0.500 0.500
Sc 0.000 0.000 0.000

The value obtained for the total energy is -6.62 eV/atom. Its symmetry is No. 216.

***

(9)
Material: Ti6Al2O
Method: DFT, GGA-PBE
State: relaxed

a b c (Å): 5.786 5.786 8.158
angles (deg): 90.00 90.00 90.00
Fractional positions:
Ti 0.000 0.000 0.760
Ti 0.500 0.500 0.260
Ti 0.259 0.259 0.500
Ti 0.759 0.759 0.000
Ti 0.259 0.741 0.500
Ti 0.741 0.741 0.500
Ti 0.241 0.241 0.000
Ti 0.741 0.259 0.500
Ti 0.000 0.000 0.240
Ti 0.500 0.500 0.740
Ti 0.241 0.759 0.000
Ti 0.759 0.241 0.000
Al 0.500 0.000 0.750
Al 0.000 0.500 0.250
Al 0.000 0.500 0.750
Al 0.500 0.000 0.250
O 0.500 0.500 0.000
O 0.000 0.000 0.500

As for the uncorrected formation energy: -842.8 meV per atom. The value obtained for the total energy is -7.49 eV/atom. Its symmetry is No. 139.

***

(10)
Material: Bi2Pd5
Method: DFT, GGA-PBE
State: relaxed

a b c (Å): 6.960 5.861 7.283
angles (deg): 90.00 118.54 90.00
Fractional positions:
Pd 0.092 0.000 0.758
Pd 0.273 0.750 0.546
Pd 0.727 0.250 0.454
Pd 0.727 0.750 0.454
Pd 0.500 0.250 0.000
Pd 0.334 0.500 0.242
Pd 0.500 0.750 0.000
Pd 0.273 0.250 0.546
Pd 0.666 0.500 0.758
Pd 0.908 0.000 0.242
Bi 0.693 0.000 0.789
Bi 0.096 0.500 0.789
Bi 0.307 0.000 0.211
Bi 0.904 0.500 0.211

The value obtained for the total energy is -5.06 eV/atom. Its symmetry is No. 66.

***

(11)
Material: CaPm4Pt5
Method: DFT, GGA-PBE
State: relaxed

a b c (Å): 3.563 3.563 17.968
angles (deg): 90.00 90.00 90.00
Fractional positions:
Pt 0.500 0.500 0.896
Pt 0.500 0.500 0.700
Pt 0.500 0.500 0.500
Pt 0.500 0.500 0.104
Pt 0.500 0.500 0.300
Pm 0.000 0.000 0.399
Pm 0.000 0.000 0.804
Pm 0.000 0.000 0.601
Pm 0.000 0.000 0.196
Ca 0.000 0.000 0.000

The value obtained for the total energy is -6.18 eV/atom. Its symmetry is No. 123.

***

(12)
Material: Tc5Mo
Method: DFT, GGA-PBE
State: relaxed

a b c (Å): 2.771 7.329 4.447
angles (deg): 90.00 90.00 79.10
Fractional positions:
Mo 0.001 0.999 0.000
Tc 0.887 0.225 0.500
Tc 0.332 0.337 0.000
Tc 0.221 0.557 0.500
Tc 0.669 0.662 0.000
Tc 0.557 0.887 0.500

The value obtained for the total energy is -10.38 eV/atom. Its symmetry is No. 38.

***

(13)
Material: Ce4Sm3TmS8
Method: DFT, GGA-PBE
State: relaxed

a b c (Å): 7.982 8.008 7.982
angles (deg): 119.89 120.00 90.00
Fractional positions:
Sm 0.500 0.500 0.500
Sm 0.000 0.500 0.500
Sm 0.500 0.500 0.000
Ce 0.500 0.000 0.000
Ce 0.000 0.000 0.000
Ce 0.000 0.000 0.500
Ce 0.500 0.000 0.500
S 0.251 0.252 0.501
S 0.245 0.258 0.001
S 0.244 0.742 0.999
S 0.756 0.258 0.001
S 0.244 0.742 0.487
S 0.749 0.748 0.499
S 0.756 0.258 0.513
S 0.755 0.742 0.999
Tm 0.000 0.500 0.000

As for the uncorrected formation energy: -2027.2 meV per atom. The value obtained for the total energy is -6.74 eV/atom. Its symmetry is No. 166.

***

(14)
Material: U3Ni2As4
Method: DFT, GGA-PBE
State: relaxed

a b c (Å): 3.921 6.581 8.547
angles (deg): 123.82 90.00 107.33
Fractional positions:
U 0.397 0.794 0.334
U 0.603 0.206 0.666
U 0.000 0.000 0.000
Ni 0.684 0.368 0.367
Ni 0.316 0.632 0.633
As 0.693 0.387 0.096
As 0.086 0.172 0.389
As 0.914 0.828 0.611
As 0.307 0.613 0.904

The value obtained for the total energy is -7.74 eV/atom. Its symmetry is No. 12.

***

(15)
Material: NaCaPO4
Method: DFT, GGA-PBE
State: relaxed

a b c (Å): 6.557 6.170 6.170
angles (deg): 57.20 57.90 57.90
Fractional positions:
O 0.721 0.726 0.226
O 0.673 0.274 0.774
O 0.266 0.700 0.767
O 0.327 0.726 0.226
O 0.266 0.267 0.200
O 0.734 0.300 0.233
O 0.734 0.733 0.800
O 0.279 0.274 0.774
Na 0.000 0.000 0.000
Na 0.000 0.500 0.500
Ca 0.500 0.000 0.500
Ca 0.000 0.000 0.500
P 0.625 0.625 0.125
P 0.375 0.375 0.875

As for the uncorrected formation energy: -2459.8 meV per atom. The value obtained for the total energy is -6.54 eV/atom. Its symmetry is No. 74.

***

(16)
Material: Pm5Sm4Tm4
Method: DFT, GGA-PBE
State: relaxed

a b c (Å): 5.068 9.516 9.516
angles (deg): 85.93 74.56 74.56
Fractional positions:
Sm 0.077 0.540 0.307
Sm 0.617 0.307 0.460
Sm 0.923 0.460 0.693
Sm 0.383 0.693 0.540
Tm 0.846 0.923 0.386
Tm 0.768 0.386 0.077
Tm 0.154 0.077 0.614
Tm 0.232 0.614 0.923
Pm 0.460 0.232 0.848
Pm 0.540 0.768 0.152
Pm 0.308 0.152 0.232
Pm 0.692 0.848 0.768
Pm 0.000 0.000 0.000

The value obtained for the total energy is -4.64 eV/atom. Its symmetry is No. 87.

***

| no. | DOS at the Fermi energy (states/eV/f.u.) |
| --- | --- |
| 1 | 3.91 |
| 2 | 2.19 |
| 3 | 7.32 |
| 4 | 3.48 |
| 5 | 6.74 |
| 6 | 4.08 |
| 7 | 21.60 |
| 8 | 7.38 |
| 9 | 2.53 |
| 10 | 4.64 |
| 11 | 6.23 |
| 12 | 6.53 |
| 13 | 22.20 |
| 14 | 12.29 |
| 15 | 0.00 |
| 16 | 18.10 |